Entry from the Alexandria database: ReSi2Ge after structural relaxation (GGA-PBE).

Summary:
- M_tot (μB per cell) = 2.0
- ΔE_f (raw) (meV per atom) = 653

POSCAR file:
```
ReSi2Ge
1.0
5.629 0.000 0.000
0.000 5.629 0.000
2.814 2.814 5.489
Si Ge Re
4 2 2
Direct
0.875 0.890 0.750
0.640 0.125 0.250
0.375 0.360 0.750
0.110 0.625 0.250
0.500 0.500 0.000
0.250 0.750 0.500
0.750 0.250 0.500
0.000 0.000 0.000
```